The following is a DFT calculation (SCAN) of a PBEsol-optimized structure of Ba2AlZn.

## Properties
Its calculated density is 3.97 g cm⁻³. The raw total energy comes out at -303.4 eV/cell. Its calculated volume is 460 Å³ per cell. The calculation puts the density of states at the Fermi level at 11.69 states/eV/cell.

CIF file:
```
data_Ba2AlZn
_cell_length_a 4.4546
_cell_length_b 4.4546
_cell_length_c 26.7748
_cell_angle_alpha 90.00
_cell_angle_beta 90.00
_cell_angle_gamma 120.00
_symmetry_space_group_name_H-M 'R 3 m'
_symmetry_Int_Tables_number 160
_symmetry_space_group_name_Hall 'R 3 -2"'
loop_
_atom_site_label
_atom_site_fract_x
_atom_site_fract_y
_atom_site_fract_z
Ba1 0.0000 0.0000 0.0000
Ba2 0.0000 0.0000 0.1776
Al1 0.0000 0.0000 0.7557
Zn1 0.0000 0.0000 0.4222
```